Compound: AcY4Tm4
Source: Alexandria via LeMat-Bulk
Functional: GGA-PBE
Structure: optimized geometry

Cell: 9.2152 9.2152 10.9179 Å, 93.44 93.44 139.67°
Closest atoms and distances in Å follow each position.
Element x y z (fractional)
1 Ac 0.2224 0.2224 0.2750  4 Y 3.29-3.63, 2 Tm 3.43
2 Ac 0.7776 0.7776 0.7250  4 Y 3.29-3.63, 2 Tm 3.43
3 Y 0.1677 0.7890 0.3340  5 Tm 3.38-3.67, 2 Y 3.59-3.61, 1 Ac 3.73
4 Y 0.2110 0.8323 0.6660  5 Tm 3.38-3.67, 2 Y 3.59-3.61, 1 Ac 3.73
5 Y 0.2263 0.2263 0.6135  2 Ac 3.29-3.50, 2 Tm 3.39, 4 Y 3.45-3.61
6 Y 0.2294 0.2294 0.9431  6 Tm 3.33-3.66, 3 Y 3.36-3.60, 2 Ac 3.40-3.63
7 Y 0.7706 0.7706 0.0569  6 Tm 3.33-3.66, 3 Y 3.36-3.60, 2 Ac 3.40-3.63
8 Y 0.7737 0.7737 0.3865  2 Ac 3.29-3.50, 2 Tm 3.39, 4 Y 3.45-3.61
9 Y 0.7890 0.1677 0.3340  5 Tm 3.38-3.67, 2 Y 3.59-3.61, 1 Ac 3.73
10 Y 0.8323 0.2110 0.6660  5 Tm 3.38-3.67, 2 Y 3.59-3.61, 1 Ac 3.73
11 Tm 0.1852 0.8148 0.0000  4 Tm 3.43, 4 Y 3.62-3.67
12 Tm 0.3542 0.6431 0.8401  5 Y 3.33-3.72, 4 Tm 3.43-3.71, 1 Ac 3.43
13 Tm 0.3565 0.6435 0.5000  6 Y 3.39-3.58, 2 Tm 3.71, 2 Ac 3.72
14 Tm 0.3569 0.6458 0.1599  5 Y 3.33-3.72, 4 Tm 3.43-3.71, 1 Ac 3.43
15 Tm 0.6431 0.3542 0.8401  5 Y 3.33-3.72, 4 Tm 3.43-3.71, 1 Ac 3.43
16 Tm 0.6435 0.3565 0.5000  6 Y 3.39-3.58, 2 Tm 3.71, 2 Ac 3.72
17 Tm 0.6458 0.3569 0.1599  5 Y 3.33-3.72, 4 Tm 3.43-3.71, 1 Ac 3.43
18 Tm 0.8148 0.1852 0.0000  4 Tm 3.43, 4 Y 3.62-3.67

## Properties
Uncorrected energy   -93.52 eV per cell
Energy of formation from the pure elements   11.69 kJ/mol of atoms